Entry 1:
La3CeEr3S8 | PBE | relaxed

Total energy   -6.560 eV per atom
Formation energy without anion corrections   -2.07 eV per atom

Lattice parameters (Å, degrees): 8.086 8.086 8.086 58.90 58.90 58.90
Sites, in units of the cell vectors:
La  0.000  0.500  0.500
La  0.500  0.000  0.500
La  0.500  0.500  0.000
Ce  0.500  0.500  0.500
Er  0.000  0.000  0.500
Er  0.000  0.500  0.000
Er  0.500  0.000  0.000
S  0.232  0.751  0.751
S  0.242  0.242  0.242
S  0.249  0.249  0.768
S  0.249  0.768  0.249
S  0.751  0.232  0.751
S  0.751  0.751  0.232
S  0.758  0.758  0.758
S  0.768  0.249  0.249


Entry 2:
MgCd4Ge | PBE | relaxed

Energy of formation from the pure elements   0.118 eV per atom
Total energy   -1.528 eV per atom

Lattice parameters (Å, degrees): 5.783 5.783 5.783 60.00 60.00 60.00
Sites, in units of the cell vectors:
Mg  0.000  0.000  0.000
Cd  0.375  0.375  0.375
Cd  0.375  0.375  0.875
Cd  0.375  0.875  0.375
Cd  0.875  0.375  0.375
Ge  0.750  0.750  0.750


Entry 3:
RbTmMnSe3 | PBE | relaxed

Total energy   -5.496 eV per atom
Formation energy without anion corrections   -1.32 eV per atom

Lattice parameters (Å, degrees): 4.175 10.941 8.051 90.00 105.02 90.00
Sites, in units of the cell vectors:
Rb  0.244  0.250  0.489
Rb  0.756  0.750  0.511
Tm  0.500  0.000  0.000
Tm  0.500  0.500  0.000
Mn  0.036  0.750  0.072
Mn  0.964  0.250  0.928
Se  0.120  0.557  0.239
Se  0.120  0.943  0.239
Se  0.440  0.750  0.880
Se  0.560  0.250  0.120
Se  0.880  0.057  0.761
Se  0.880  0.443  0.761


Entry 4:
NaTaZnCl2 | PBE | relaxed

Total energy   -3.801 eV per atom
Formation energy without anion corrections   -0.17 eV per atom

Lattice parameters (Å, degrees): 4.832 4.832 5.339 90.00 90.00 90.00
Sites, in units of the cell vectors:
Na  0.000  0.000  0.000
Ta  0.500  0.500  0.500
Zn  0.500  0.500  0.000
Cl  0.000  0.500  0.500
Cl  0.500  0.000  0.500


Entry 5:
TiMnCdCu2 | PBE | relaxed

Energy of formation from the pure elements   0.945 eV per atom
Total energy   -4.289 eV per atom

Lattice parameters (Å, degrees): 4.716 4.716 4.216 90.00 90.00 90.00
Sites, in units of the cell vectors:
Ti  0.000  0.000  0.000
Mn  0.000  0.000  0.500
Cd  0.500  0.500  0.500
Cu  0.000  0.500  0.000
Cu  0.500  0.000  0.000


Entry 6:
Ti2VCo3 | PBE | relaxed

ΔE to the lowest computed polymorph   0.00 eV/f.u.
Energy of formation from the pure elements   -0.275 eV per atom
Total energy   -7.980 eV per atom

Lattice parameters (Å, degrees): 4.173 4.173 5.126 90.00 90.00 120.00
Sites, in units of the cell vectors:
Ti  0.333  0.667  0.175
Ti  0.667  0.333  0.825
V  0.000  0.000  0.500
Co  0.000  0.000  0.000
Co  0.333  0.667  0.667
Co  0.667  0.333  0.333


Entry 7:
Pr4GaGe | PBE | relaxed

ΔE to the lowest computed polymorph   0.00 eV/f.u.
Energy of formation from the pure elements   -0.463 eV per atom
Total energy   -4.923 eV per atom

Lattice parameters (Å, degrees): 6.433 6.747 8.965 90.00 110.38 90.00
Sites, in units of the cell vectors:
Pr  0.006  0.000  0.257
Pr  0.006  0.500  0.257
Pr  0.406  0.250  0.092
Pr  0.419  0.250  0.614
Pr  0.581  0.750  0.386
Pr  0.594  0.750  0.908
Pr  0.994  0.000  0.743
Pr  0.994  0.500  0.743
Ga  0.256  0.750  0.568
Ga  0.744  0.250  0.432
Ge  0.224  0.750  0.053
Ge  0.776  0.250  0.947


Entry 8:
BaCaZn2O4 | PBE | relaxed

Total energy   -5.229 eV per atom
Formation energy without anion corrections   -1.94 eV per atom

Lattice parameters (Å, degrees): 5.784 6.065 7.285 90.00 90.00 90.00
Sites, in units of the cell vectors:
Ba  0.000  0.000  0.000
Ba  0.500  0.500  0.500
Ca  0.000  0.000  0.500
Ca  0.500  0.500  0.000
Zn  0.000  0.500  0.218
Zn  0.000  0.500  0.782
Zn  0.500  0.000  0.282
Zn  0.500  0.000  0.718
O  0.248  0.185  0.307
O  0.248  0.815  0.693
O  0.252  0.315  0.807
O  0.252  0.685  0.193
O  0.748  0.315  0.193
O  0.748  0.685  0.807
O  0.752  0.185  0.693
O  0.752  0.815  0.307